No. 1
A geometry-optimized CaSb2O6 structure, computed with PBE-GGA.

Output
As for the total moment: 0.00 μB/cell. The energy above the most stable polymorph in this dataset is 177 meV/atom.

Lattice parameters (Å, degrees): 7.7677 5.5605 5.4313 90.00 90.00 90.00
Last column: nearest neighbours and their distance in Å.
Atoms (fractional coordinates):
Ca (0.0000, 0.1900, 0.0000)  6 O 2.31-2.55
Ca (0.5000, 0.8100, 0.5000)  6 O 2.31-2.55
Sb (0.2504, 0.2581, 0.4871)  6 O 1.99-2.03
Sb (0.2496, 0.7419, 0.9871)  6 O 1.99-2.03
Sb (0.7496, 0.2581, 0.4871)  6 O 1.99-2.03
Sb (0.7504, 0.7419, 0.9871)  6 O 1.99-2.03
O (0.0000, 0.2701, 0.5826)  2 Sb 2.01
O (0.0000, 0.7741, 0.8998)  2 Sb 2.00
O (0.1996, 0.4476, 0.1818)  2 Sb 1.99-2.00
O (0.2073, 0.9612, 0.2775)  2 Sb 2.02-2.03
O (0.2927, 0.0388, 0.7775)  2 Sb 2.02-2.03
O (0.3004, 0.5524, 0.6818)  2 Sb 1.99-2.00
O (0.5000, 0.2259, 0.3998)  2 Sb 2.00
O (0.5000, 0.7299, 0.0826)  2 Sb 2.01
O (0.6996, 0.5524, 0.6818)  2 Sb 1.99-2.00
O (0.7073, 0.0388, 0.7775)  2 Sb 2.02-2.03
O (0.7927, 0.9612, 0.2775)  2 Sb 2.02-2.03
O (0.8004, 0.4476, 0.1818)  2 Sb 1.99-2.00

=====

No. 2
A geometry-optimized CaSbO3 structure, computed with PBE-GGA.

Output
As for the total moment: 1.00 μB/cell.

Lattice parameters (Å, degrees): 4.1797 4.1797 4.1797 90.00 90.00 90.00
Last column: nearest neighbours and their distance in Å.
Atoms (fractional coordinates):
Ca (0.0000, 0.0000, 0.0000)  6 O 2.09
Sb (0.5000, 0.5000, 0.5000)  12 O 2.96
O (0.0000, 0.0000, 0.5000)  2 Ca 2.09
O (0.0000, 0.5000, 0.0000)  2 Ca 2.09
O (0.5000, 0.0000, 0.0000)  2 Ca 2.09

=====

No. 3
A geometry-optimized Ca3SbO4 structure, computed with PBE-GGA.

Output
As for the total moment: 1.03 μB/cell.

Lattice parameters (Å, degrees): 8.4137 6.7972 4.8813 90.00 90.00 90.00
Last column: nearest neighbours and their distance in Å.
Atoms (fractional coordinates):
Ca (0.0000, 0.1455, 0.0000)  5 O 2.31-2.46
Ca (0.2360, 0.3309, 0.5018)  5 O 2.24-2.48
Ca (0.2640, 0.6691, 0.0018)  5 O 2.24-2.48
Ca (0.5000, 0.8545, 0.5000)  5 O 2.31-2.46
Ca (0.7360, 0.6691, 0.0018)  5 O 2.24-2.48
Ca (0.7640, 0.3309, 0.5018)  5 O 2.24-2.48
Sb (0.0000, 0.7497, 0.5035)  1 O 2.02
Sb (0.5000, 0.2503, 0.0035)  1 O 2.02
O (0.0000, 0.1780, 0.4986)  4 Ca 2.24-2.46
O (0.0000, 0.8029, 0.0957)  1 Sb 2.02
O (0.2342, 0.3233, 0.9937)  1 Sb 2.29, 4 Ca 2.31-2.48
O (0.2658, 0.6767, 0.4937)  1 Sb 2.29, 4 Ca 2.31-2.48
O (0.5000, 0.1971, 0.5957)  1 Sb 2.02
O (0.5000, 0.8220, 0.9986)  4 Ca 2.24-2.46
O (0.7342, 0.6767, 0.4937)  1 Sb 2.29, 4 Ca 2.31-2.48
O (0.7658, 0.3233, 0.9937)  1 Sb 2.29, 4 Ca 2.31-2.48

=====

No. 4
A geometry-optimized Ca6Sb2O structure, computed with PBE-GGA.

Output
As for the total moment: 0.08 μB/cell.

Lattice parameters (Å, degrees): 6.8617 6.8617 6.1484 97.80 97.80 60.35
Last column: nearest neighbours and their distance in Å.
Atoms (fractional coordinates):
Ca (0.1541, 0.1541, 0.8056)  1 O 2.41
Ca (0.1561, 0.6623, 0.7028)  1 O 2.46
Ca (0.3377, 0.8439, 0.2972)  1 O 2.46
Ca (0.6623, 0.1561, 0.7028)  1 O 2.46
Ca (0.8439, 0.3377, 0.2972)  1 O 2.46
Ca (0.8459, 0.8459, 0.1944)  1 O 2.41
Sb (0.3393, 0.3393, 0.2429)  9 Ca 3.19-3.47
Sb (0.6607, 0.6607, 0.7571)  9 Ca 3.19-3.47
O (0.0000, 0.0000, 0.5000)  6 Ca 2.41-2.46

=====

No. 5
A geometry-optimized CaSbO3 structure, computed with PBE-GGA.

Output
As for the total moment: 0.00 μB/cell.

Lattice parameters (Å, degrees): 5.8986 8.1720 5.6741 90.00 90.00 90.00
Last column: nearest neighbours and their distance in Å.
Atoms (fractional coordinates):
Ca (0.0547, 0.2500, 0.0157)  4 O 2.36-2.46
Ca (0.4453, 0.7500, 0.5157)  4 O 2.36-2.46
Ca (0.5547, 0.2500, 0.4843)  4 O 2.36-2.46
Ca (0.9453, 0.7500, 0.9843)  4 O 2.36-2.46
Sb (0.0000, 0.0000, 0.5000)  6 O 2.14-2.16
Sb (0.0000, 0.5000, 0.5000)  6 O 2.14-2.16
Sb (0.5000, 0.0000, 0.0000)  6 O 2.14-2.16
Sb (0.5000, 0.5000, 0.0000)  6 O 2.14-2.16
O (0.0477, 0.7500, 0.3860)  2 Sb 2.16, 1 Ca 2.36
O (0.2010, 0.5593, 0.8023)  2 Sb 2.14-2.15
O (0.2010, 0.9407, 0.8023)  2 Sb 2.14-2.15
O (0.2990, 0.0593, 0.3023)  2 Sb 2.14-2.15
O (0.2990, 0.4407, 0.3023)  2 Sb 2.14-2.15
O (0.4523, 0.2500, 0.8860)  2 Sb 2.16, 1 Ca 2.36
O (0.5477, 0.7500, 0.1140)  2 Sb 2.16, 1 Ca 2.36
O (0.7010, 0.5593, 0.6977)  2 Sb 2.14-2.15
O (0.7010, 0.9407, 0.6977)  2 Sb 2.14-2.15
O (0.7990, 0.0593, 0.1977)  2 Sb 2.14-2.15
O (0.7990, 0.4407, 0.1977)  2 Sb 2.14-2.15
O (0.9523, 0.2500, 0.6140)  2 Sb 2.16, 1 Ca 2.36

=====

No. 6
A geometry-optimized Ca2Sb2O5 structure, computed with PBE-GGA.

Output
As for the total moment: 0.00 μB/cell.

Lattice parameters (Å, degrees): 6.5673 10.2769 4.2497 90.00 90.00 90.00
Last column: nearest neighbours and their distance in Å.
Atoms (fractional coordinates):
Ca (0.1527, 0.1395, 0.0000)  4 O 2.38-2.62
Ca (0.3473, 0.6395, 0.0000)  4 O 2.38-2.62
Ca (0.6527, 0.3605, 0.0000)  4 O 2.38-2.62
Ca (0.8473, 0.8605, 0.0000)  4 O 2.38-2.62
Sb (0.2234, 0.3959, 0.5000)  4 O 1.98-2.18
Sb (0.2766, 0.8959, 0.5000)  4 O 1.98-2.18
Sb (0.7234, 0.1041, 0.5000)  4 O 1.98-2.18
Sb (0.7766, 0.6041, 0.5000)  4 O 1.98-2.18
O (0.0000, 0.0000, 0.5000)  2 Sb 2.11
O (0.1954, 0.7104, 0.5000)  1 Sb 1.98
O (0.2073, 0.8865, 0.0000)  2 Sb 2.18, 1 Ca 2.38
O (0.2927, 0.3865, 0.0000)  2 Sb 2.18, 1 Ca 2.38
O (0.3046, 0.2104, 0.5000)  1 Sb 1.98
O (0.5000, 0.5000, 0.5000)  2 Sb 2.11
O (0.6954, 0.7896, 0.5000)  1 Sb 1.98
O (0.7073, 0.6135, 0.0000)  2 Sb 2.18, 1 Ca 2.38
O (0.7927, 0.1135, 0.0000)  2 Sb 2.18, 1 Ca 2.38
O (0.8046, 0.2896, 0.5000)  1 Sb 1.98

=====

No. 7
A geometry-optimized CaSb2O structure, computed with PBE-GGA.

Output
As for the total moment: 0.00 μB/cell.

Lattice parameters (Å, degrees): 8.0377 8.0377 8.0377 138.20 138.20 60.60
Last column: nearest neighbours and their distance in Å.
Atoms (fractional coordinates):
Ca (0.0000, 0.0000, 0.0000)  4 Sb 3.36
Ca (0.7500, 0.2500, 0.5000)  4 Sb 3.36
Sb (0.3111, 0.1250, 0.6861)  2 O 2.28
Sb (0.3750, 0.6889, 0.8139)  2 O 2.28
Sb (0.4389, 0.6250, 0.3139)  2 O 2.28
Sb (0.8750, 0.5611, 0.1861)  2 O 2.28
O (0.2500, 0.7500, 0.5000)  4 Sb 2.28
O (0.5000, 0.5000, 0.0000)  4 Sb 2.28

=====

No. 8
A geometry-optimized Ca2SbO2 structure, computed with PBE-GGA.

Output
As for the total moment: 0.00 μB/cell. The energy above the most stable polymorph in this dataset is 404 meV/atom.

Lattice parameters (Å, degrees): 7.1730 7.1730 3.3662 90.00 90.00 90.00
Last column: nearest neighbours and their distance in Å.
Atoms (fractional coordinates):
Ca (0.1644, 0.3356, 0.0000)  2 O 2.45
Ca (0.3356, 0.8356, 0.0000)  2 O 2.45
Ca (0.6644, 0.1644, 0.0000)  2 O 2.45
Ca (0.8356, 0.6644, 0.0000)  2 O 2.45
Sb (0.0000, 0.0000, 0.5000)  4 O 2.69
Sb (0.5000, 0.5000, 0.5000)  4 O 2.69
O (0.1607, 0.6607, 0.5000)  2 Ca 2.45, 2 Sb 2.69
O (0.3393, 0.1607, 0.5000)  2 Ca 2.45, 2 Sb 2.69
O (0.6607, 0.8393, 0.5000)  2 Ca 2.45, 2 Sb 2.69
O (0.8393, 0.3393, 0.5000)  2 Ca 2.45, 2 Sb 2.69

=====

No. 9
A geometry-optimized Ca3SbO structure, computed with PBE-GGA.

Output
As for the total moment: 0.79 μB/cell. The energy above the most stable polymorph in this dataset is 124 meV/atom.

Lattice parameters (Å, degrees): 8.2912 8.2912 7.9339 97.50 97.50 30.29
Last column: nearest neighbours and their distance in Å.
Atoms (fractional coordinates):
Ca (0.0497, 0.0497, 0.3387)  2 O 2.26-2.38
Ca (0.1391, 0.1391, 0.9359)  1 O 2.38
Ca (0.3289, 0.3289, 0.3800)  2 O 2.54
Ca (0.6711, 0.6711, 0.6200)  2 O 2.54
Ca (0.8609, 0.8609, 0.0641)  1 O 2.38
Ca (0.9503, 0.9503, 0.6613)  2 O 2.26-2.38
Sb (0.3170, 0.3170, 0.7744)  8 Ca 3.16-3.30
Sb (0.6830, 0.6830, 0.2256)  8 Ca 3.16-3.30
O (0.0895, 0.0895, 0.6389)  3 Ca 2.26-2.38
O (0.9105, 0.9105, 0.3611)  3 Ca 2.26-2.38

=====

No. 10
A geometry-optimized Ca2Sb3O8 structure, computed with PBE-GGA.

Output
As for the total moment: 0.00 μB/cell. The energy above the most stable polymorph in this dataset is 58 meV/atom.

Lattice parameters (Å, degrees): 6.7401 6.7401 10.3282 90.00 90.00 120.00
Last column: nearest neighbours and their distance in Å.
Atoms (fractional coordinates):
Ca (0.3333, 0.6667, 0.0000)  6 O 2.38-2.41
Ca (0.3333, 0.6667, 0.3693)  4 O 2.27-2.38
Ca (0.6667, 0.3333, 0.5000)  6 O 2.38-2.41
Ca (0.6667, 0.3333, 0.8693)  4 O 2.27-2.38
Sb (0.1649, 0.3298, 0.7137)  6 O 2.11-2.29
Sb (0.1649, 0.8351, 0.7137)  6 O 2.11-2.29
Sb (0.3298, 0.1649, 0.2137)  6 O 2.11-2.29
Sb (0.6702, 0.8351, 0.7137)  6 O 2.11-2.29
Sb (0.8351, 0.1649, 0.2137)  6 O 2.11-2.29
Sb (0.8351, 0.6702, 0.2137)  6 O 2.11-2.29
O (0.0000, 0.0000, 0.3139)  3 Sb 2.19
O (0.0000, 0.0000, 0.8139)  3 Sb 2.19
O (0.0494, 0.5247, 0.8306)  2 Sb 2.19, 2 Ca 2.27-2.41
O (0.1627, 0.3254, 0.1266)  2 Sb 2.11
O (0.1627, 0.8373, 0.1266)  2 Sb 2.11
O (0.3254, 0.1627, 0.6266)  2 Sb 2.11
O (0.3333, 0.6667, 0.5996)  3 Sb 2.29, 1 Ca 2.38
O (0.4753, 0.5247, 0.8306)  2 Sb 2.19, 2 Ca 2.27-2.41
O (0.4753, 0.9506, 0.8306)  2 Sb 2.19, 2 Ca 2.27-2.41
O (0.5247, 0.0494, 0.3306)  2 Sb 2.19, 2 Ca 2.27-2.41
O (0.5247, 0.4753, 0.3306)  2 Sb 2.19, 2 Ca 2.27-2.41
O (0.6667, 0.3333, 0.0996)  3 Sb 2.29, 1 Ca 2.38
O (0.6746, 0.8373, 0.1266)  2 Sb 2.11
O (0.8373, 0.1627, 0.6266)  2 Sb 2.11
O (0.8373, 0.6746, 0.6266)  2 Sb 2.11
O (0.9506, 0.4753, 0.3306)  2 Sb 2.19, 2 Ca 2.27-2.41

=====

No. 11
A geometry-optimized Ca5Sb2O2 structure, computed with PBE-GGA.

Output
As for the total moment: 0.00 μB/cell.

Lattice parameters (Å, degrees): 6.9796 6.9796 7.2895 105.74 105.74 41.40
Last column: nearest neighbours and their distance in Å.
Atoms (fractional coordinates):
Ca (0.0000, 0.0000, 0.0000)  2 O 2.43
Ca (0.1516, 0.1516, 0.5832)  1 O 2.25
Ca (0.3339, 0.3339, 0.0779)  3 O 2.26-2.47
Ca (0.6661, 0.6661, 0.9221)  3 O 2.26-2.47
Ca (0.8484, 0.8484, 0.4168)  1 O 2.25
Sb (0.4069, 0.4069, 0.6920)  7 Ca 3.13-3.32
Sb (0.5931, 0.5931, 0.3080)  7 Ca 3.13-3.32
O (0.1607, 0.1607, 0.8965)  5 Ca 2.25-2.47
O (0.8393, 0.8393, 0.1035)  5 Ca 2.25-2.47

=====

No. 12
A geometry-optimized Ca2SbSe2O2 structure, computed with PBE-GGA.

Output
As for the total moment: 0.00 μB/cell.

Lattice parameters (Å, degrees): 6.4738 6.4738 7.2187 119.90 119.90 34.15
Last column: nearest neighbours and their distance in Å.
Atoms (fractional coordinates):
Ca (0.1963, 0.1963, 0.2634)  3 O 2.27-2.34
Ca (0.8037, 0.8037, 0.7366)  3 O 2.27-2.34
Sb (0.0000, 0.0000, 0.5000)  2 O 2.12
Se (0.4501, 0.4501, 0.1808)  2 Sb 2.80
Se (0.5499, 0.5499, 0.8192)  2 Sb 2.80
O (0.1914, 0.1914, 0.5827)  1 Sb 2.12, 3 Ca 2.27-2.34
O (0.8086, 0.8086, 0.4173)  1 Sb 2.12, 3 Ca 2.27-2.34

=====

For the records above, the corresponding formation energy without anion corrections values read -1.73; -0.69; -2.27; -1.11; -2.01; -1.95; -0.53; -1.55; -1.49; -1.75; -1.78; -1.75 eV/atom.
For the records above, the corresponding density values read 5.37; 4.77; 3.64; 3.34; 5.10; 4.67; 4.36; 4.49; 3.14; 4.69; 3.52; 4.49 Mg/m³.